GGA-PBE KNaPtF6, relaxed; total energy = -4.32 eV per atom; E_form (uncorrected) = -2.129 eV/atom
1.0
5.801 0.000 0.000
-2.901 5.024 0.000
0.000 0.000 5.450
K Na Pt F
1 1 1 6
Direct
0.000 0.000 0.000 K
0.333 0.667 0.500 Na
0.667 0.333 0.500 Pt
0.388 0.046 0.703 F
0.388 0.342 0.297 F
0.658 0.046 0.297 F
0.658 0.612 0.703 F
0.954 0.342 0.703 F
0.954 0.612 0.297 F

***

GGA-PBE K2NaPuF8, relaxed; total energy = -5.76 eV per atom; E_form (uncorrected) = -3.024 eV/atom
1.0
-2.960 2.960 5.625
2.960 -2.960 5.625
2.960 2.960 -5.625
K Na Pu F
2 1 1 8
Direct
0.000 0.000 0.000 K
0.750 0.250 0.500 K
0.500 0.500 0.000 Na
0.250 0.750 0.500 Pu
0.154 0.083 0.510 F
0.154 0.644 0.072 F
0.356 0.428 0.510 F
0.356 0.846 0.928 F
0.572 0.083 0.928 F
0.572 0.644 0.490 F
0.917 0.428 0.072 F
0.917 0.846 0.490 F

***

GGA-PBE KNa2PuF6, relaxed; total energy = -6.01 eV per atom; E_form (uncorrected) = -3.084 eV/atom
1.0
6.104 0.000 0.000
3.041 5.302 0.000
3.009 1.770 5.334
K Na Pu F
1 2 1 6
Direct
0.000 0.000 0.000 K
0.275 0.275 0.171 Na
0.786 0.787 0.646 Na
0.488 0.487 0.539 Pu
0.096 0.438 0.829 F
0.183 0.886 0.375 F
0.439 0.640 0.829 F
0.561 0.198 0.361 F
0.626 0.090 0.843 F
0.882 0.559 0.364 F

***

GGA-PBE KNa2PuF8, relaxed; total energy = -5.75 eV per atom; E_form (uncorrected) = -2.999 eV/atom
1.0
-2.800 2.800 5.774
2.800 -2.800 5.774
2.800 2.800 -5.774
K Na Pu F
1 2 1 8
Direct
0.000 0.000 0.000 K
0.250 0.750 0.500 Na
0.500 0.500 0.000 Na
0.750 0.250 0.500 Pu
0.092 0.137 0.512 F
0.092 0.581 0.955 F
0.419 0.374 0.512 F
0.419 0.908 0.045 F
0.626 0.137 0.045 F
0.626 0.581 0.488 F
0.863 0.374 0.955 F
0.863 0.908 0.488 F

***

GGA-PBE KRbNaF3, relaxed; total energy = -4.18 eV per atom; E_form (uncorrected) = -2.679 eV/atom
1.0
6.390 0.000 0.000
0.000 3.803 0.000
-1.928 0.000 9.294
K Rb Na F
2 2 2 6
Direct
0.237 0.250 0.448 K
0.763 0.750 0.552 K
0.351 0.750 0.819 Rb
0.649 0.250 0.181 Rb
0.127 0.750 0.135 Na
0.873 0.250 0.865 Na
0.041 0.250 0.672 F
0.212 0.250 0.025 F
0.435 0.750 0.324 F
0.565 0.250 0.676 F
0.788 0.750 0.975 F
0.959 0.750 0.328 F

***

GGA-PBE KRb2Na2F7, relaxed; total energy = -3.80 eV per atom; E_form (uncorrected) = -2.236 eV/atom
1.0
3.245 -3.053 0.000
3.245 3.053 0.000
-1.800 0.000 11.243
K Rb Na F
1 2 2 7
Direct
0.000 0.000 0.000 K
0.185 0.185 0.358 Rb
0.815 0.815 0.642 Rb
0.373 0.373 0.805 Na
0.627 0.627 0.195 Na
0.124 0.633 0.184 F
0.258 0.258 0.606 F
0.367 0.876 0.816 F
0.500 0.500 0.000 F
0.633 0.124 0.184 F
0.742 0.742 0.394 F
0.876 0.367 0.816 F

***

GGA-PBE K2Rb3NaF6, relaxed; total energy = -4.13 eV per atom; E_form (uncorrected) = -2.661 eV/atom
1.0
8.408 -1.934 0.000
8.408 1.934 0.000
-1.821 0.000 7.539
K Rb Na F
2 3 1 6
Direct
0.164 0.164 0.329 K
0.836 0.836 0.671 K
0.166 0.166 0.837 Rb
0.500 0.500 0.500 Rb
0.834 0.834 0.163 Rb
0.500 0.500 0.000 Na
0.001 0.001 0.224 F
0.331 0.331 0.422 F
0.348 0.348 0.916 F
0.652 0.652 0.084 F
0.669 0.669 0.578 F
0.999 0.999 0.776 F

***

GGA-PBE KNaReF6, relaxed; total energy = -5.33 eV per atom; E_form (uncorrected) = -2.431 eV/atom
1.0
6.183 0.000 0.000
-3.092 5.355 0.000
0.000 0.000 8.831
K Na Re F
2 2 2 12
Direct
0.333 0.667 0.250 K
0.667 0.333 0.750 K
0.000 0.000 0.000 Na
0.000 0.000 0.500 Na
0.333 0.667 0.750 Re
0.667 0.333 0.250 Re
0.077 0.390 0.624 F
0.077 0.687 0.876 F
0.313 0.390 0.876 F
0.313 0.923 0.624 F
0.390 0.077 0.124 F
0.390 0.313 0.376 F
0.610 0.687 0.624 F
0.610 0.923 0.876 F
0.687 0.077 0.376 F
0.687 0.610 0.124 F
0.923 0.313 0.124 F
0.923 0.610 0.376 F

***

GGA-PBE KNa2RhF6, relaxed; total energy = -4.56 eV per atom; E_form (uncorrected) = -2.332 eV/atom
1.0
5.819 0.000 0.000
0.000 6.199 0.000
-5.683 0.000 8.428
K Na Rh F
2 4 2 12
Direct
0.000 0.000 0.000 K
0.000 0.500 0.500 K
0.218 0.029 0.717 Na
0.218 0.471 0.217 Na
0.782 0.529 0.783 Na
0.782 0.971 0.283 Na
0.500 0.000 0.500 Rh
0.500 0.500 0.000 Rh
0.173 0.147 0.477 F
0.173 0.353 0.977 F
0.236 0.747 0.877 F
0.236 0.753 0.377 F
0.429 0.134 0.298 F
0.429 0.366 0.798 F
0.571 0.634 0.202 F
0.571 0.866 0.702 F
0.764 0.247 0.623 F
0.764 0.253 0.123 F
0.827 0.647 0.023 F
0.827 0.853 0.523 F

***

GGA-PBE KNaRhF6, relaxed; total energy = -4.52 eV per atom; E_form (uncorrected) = -2.184 eV/atom
1.0
5.760 0.000 0.000
-2.880 4.988 0.000
0.000 0.000 5.473
K Na Rh F
1 1 1 6
Direct
0.000 0.000 0.000 K
0.333 0.667 0.500 Na
0.667 0.333 0.500 Rh
0.391 0.049 0.701 F
0.391 0.342 0.299 F
0.658 0.049 0.299 F
0.658 0.609 0.701 F
0.951 0.342 0.701 F
0.951 0.609 0.299 F

***

GGA-PBE KNa2RhF6, relaxed; total energy = -4.40 eV per atom; E_form (uncorrected) = -2.168 eV/atom
1.0
0.000 4.437 4.437
4.437 0.000 4.437
4.437 4.437 0.000
K Na Rh F
1 2 1 6
Direct
0.000 0.000 0.000 K
0.250 0.250 0.250 Na
0.750 0.750 0.750 Na
0.500 0.500 0.500 Rh
0.275 0.275 0.725 F
0.275 0.725 0.275 F
0.275 0.725 0.725 F
0.725 0.275 0.275 F
0.725 0.275 0.725 F
0.725 0.725 0.275 F

***

GGA-PBE K2NaRh3F12, relaxed; total energy = -4.65 eV per atom; E_form (uncorrected) = -1.981 eV/atom
1.0
3.722 2.149 6.011
-3.722 2.149 6.011
0.000 -4.298 6.011
K Na Rh F
2 1 3 12
Direct
0.129 0.129 0.129 K
0.871 0.871 0.871 K
0.500 0.500 0.500 Na
0.000 0.500 0.500 Rh
0.500 0.000 0.500 Rh
0.500 0.500 0.000 Rh
0.092 0.620 0.620 F
0.208 0.208 0.625 F
0.208 0.625 0.208 F
0.375 0.792 0.792 F
0.380 0.380 0.908 F
0.380 0.908 0.380 F
0.620 0.092 0.620 F
0.620 0.620 0.092 F
0.625 0.208 0.208 F
0.792 0.375 0.792 F
0.792 0.792 0.375 F
0.908 0.380 0.380 F

***

GGA-PBE KNaRuF6, relaxed; total energy = -4.85 eV per atom; E_form (uncorrected) = -2.300 eV/atom
1.0
5.802 0.000 0.000
-2.901 5.025 0.000
0.000 0.000 10.802
K Na Ru F
2 2 2 12
Direct
0.000 0.000 0.000 K
0.000 0.000 0.500 K
0.333 0.667 0.250 Na
0.667 0.333 0.750 Na
0.333 0.667 0.750 Ru
0.667 0.333 0.250 Ru
0.049 0.393 0.648 F
0.049 0.657 0.852 F
0.343 0.393 0.852 F
0.343 0.951 0.648 F
0.393 0.049 0.148 F
0.393 0.343 0.352 F
0.607 0.657 0.648 F
0.607 0.951 0.852 F
0.657 0.049 0.352 F
0.657 0.607 0.148 F
0.951 0.343 0.148 F
0.951 0.607 0.352 F

***

GGA-PBE KNa2RuF6, relaxed; total energy = -4.57 eV per atom; E_form (uncorrected) = -2.150 eV/atom
1.0
0.000 4.458 4.458
4.458 0.000 4.458
4.458 4.458 0.000
K Na Ru F
1 2 1 6
Direct
0.000 0.000 0.000 K
0.250 0.250 0.250 Na
0.750 0.750 0.750 Na
0.500 0.500 0.500 Ru
0.274 0.274 0.726 F
0.274 0.726 0.274 F
0.274 0.726 0.726 F
0.726 0.274 0.274 F
0.726 0.274 0.726 F
0.726 0.726 0.274 F

***

GGA-PBE KNa2SbF, relaxed; total energy = -3.15 eV per atom; E_form (uncorrected) = -1.200 eV/atom
1.0
4.936 0.000 0.000
0.000 4.936 0.000
0.000 0.000 5.159
K Na Sb F
1 2 1 1
Direct
0.000 0.000 0.000 K
0.000 0.500 0.500 Na
0.500 0.000 0.500 Na
0.500 0.500 0.000 Sb
0.000 0.000 0.500 F

***

GGA-PBE K2NaSbF, relaxed; total energy = -3.13 eV per atom; E_form (uncorrected) = -1.232 eV/atom
1.0
5.681 0.000 0.000
0.000 5.681 0.000
0.000 0.000 4.437
K Na Sb F
2 1 1 1
Direct
0.000 0.500 0.000 K
0.500 0.000 0.000 K
0.000 0.000 0.500 Na
0.500 0.500 0.500 Sb
0.000 0.000 0.000 F

***

GGA-PBE KNaScF5, relaxed; total energy = -5.67 eV per atom; E_form (uncorrected) = -3.406 eV/atom
1.0
3.498 -5.188 0.000
3.498 5.188 0.000
-2.534 0.000 7.521
K Na Sc F
2 2 2 10
Direct
0.166 0.834 0.750 K
0.834 0.166 0.250 K
0.179 0.821 0.250 Na
0.821 0.179 0.750 Na
0.500 0.500 0.000 Sc
0.500 0.500 0.500 Sc
0.158 0.256 0.938 F
0.229 0.593 0.419 F
0.256 0.158 0.438 F
0.407 0.771 0.081 F
0.443 0.557 0.750 F
0.557 0.443 0.250 F
0.593 0.229 0.919 F
0.744 0.842 0.562 F
0.771 0.407 0.581 F
0.842 0.744 0.062 F

***

GGA-PBE K3Na2ScF9, relaxed; total energy = -4.87 eV per atom; E_form (uncorrected) = -2.925 eV/atom
1.0
6.047 0.000 0.000
-3.024 5.237 0.000
0.000 0.000 7.702
K Na Sc F
3 2 1 9
Direct
0.000 0.000 0.000 K
0.333 0.667 0.687 K
0.667 0.333 0.313 K
0.333 0.667 0.186 Na
0.667 0.333 0.814 Na
0.000 0.000 0.500 Sc
0.000 0.500 0.000 F
0.157 0.314 0.347 F
0.157 0.843 0.347 F
0.314 0.157 0.653 F
0.500 0.000 0.000 F
0.500 0.500 0.000 F
0.686 0.843 0.347 F
0.843 0.157 0.653 F
0.843 0.686 0.653 F

***

GGA-PBE K2NaSeF, relaxed; total energy = -3.45 eV per atom; E_form (uncorrected) = -1.677 eV/atom
1.0
5.135 0.000 0.000
0.000 5.135 0.000
0.000 0.000 4.732
K Na Se F
2 1 1 1
Direct
0.000 0.500 0.000 K
0.500 0.000 0.000 K
0.000 0.000 0.500 Na
0.500 0.500 0.500 Se
0.000 0.000 0.000 F

***

GGA-PBE KNaSiF6, relaxed; total energy = -5.23 eV per atom; E_form (uncorrected) = -3.113 eV/atom
1.0
5.550 0.000 0.000
-2.775 4.807 0.000
0.000 0.000 5.301
K Na Si F
1 1 1 6
Direct
0.000 0.000 0.000 K
0.333 0.667 0.500 Na
0.667 0.333 0.500 Si
0.415 0.076 0.686 F
0.415 0.339 0.314 F
0.661 0.076 0.314 F
0.661 0.585 0.686 F
0.924 0.339 0.686 F
0.924 0.585 0.314 F